Entry 1:
## RePdNO2 (PBE)

Data for a relaxed RePdNO2 crystal.

Properties
**ΔE_f (raw)**: -0.20 eV/atom

a = 3.8442 Å, b = 3.8442 Å, c = 3.9799 Å
α = 90.00°, β = 90.00°, γ = 90.00°
Closest atoms and distances in Å follow each position.
Space group P4/mmm (No. 123)
Inequivalent atoms, fractional coordinates:
Re 0.0000 0.0000 0.0000 (multiplicity 1)  4 O 1.92, 2 N 1.99
Pd 0.5000 0.5000 0.5000 (multiplicity 1)  4 N 2.72, 8 O 2.77
N 0.0000 0.0000 0.5000 (multiplicity 1)  2 Re 1.99
O 0.0000 0.5000 0.0000 (multiplicity 2)  2 Re 1.92

Entry 2:
## Pm2SiAg (PBE)

Data for a relaxed Pm2SiAg crystal.

Properties
**ΔE_f (raw)**: -0.40 eV/atom

a = 5.1420 Å, b = 5.1420 Å, c = 3.7381 Å
α = 90.00°, β = 90.00°, γ = 90.00°
Closest atoms and distances in Å follow each position.
Space group P4/mmm (No. 123)
Inequivalent atoms, fractional coordinates:
Pm 0.0000 0.5000 0.0000 (multiplicity 2)  4 Si 3.18, 4 Ag 3.18
Si 0.0000 0.0000 0.5000 (multiplicity 1)  8 Pm 3.18
Ag 0.5000 0.5000 0.5000 (multiplicity 1)  8 Pm 3.18

Entry 3:
## KLa2Be2O6 (PBE)

Data for a relaxed KLa2Be2O6 crystal.

Properties
**ΔE_f (raw)**: -2.45 eV/atom

a = 5.3955 Å, b = 5.3955 Å, c = 20.4761 Å
α = 90.00°, β = 90.00°, γ = 120.00°
Closest atoms and distances in Å follow each position.
Space group R-3m (No. 166, hexagonal axes)
Inequivalent atoms, fractional coordinates:
K 0.0000 0.0000 0.0000 (multiplicity 3)  6 O 2.71
La 0.0000 0.0000 0.1977 (multiplicity 6)  3 O 2.43
Be 0.0000 0.0000 0.4380 (multiplicity 6)  3 O 1.53
O 0.0052 0.5026 0.2258 (multiplicity 18)  1 Be 1.53

Entry 4:
## SmInAg (PBE)

Data for a relaxed SmInAg crystal.

Properties
**Calculated formation energy**: -0.39 eV/atom

a = 10.9297 Å, b = 4.8099 Å, c = 7.4588 Å
α = 90.00°, β = 130.18°, γ = 90.00°
Closest atoms and distances in Å follow each position.
Space group C2/m (No. 12)
Inequivalent atoms, fractional coordinates:
Sm 0.0355 0.0000 0.2945 (multiplicity 4)  6 Ag 3.25-3.59, 6 In 3.33-3.48, 1 Sm 3.62
In 0.1671 0.5000 0.1165 (multiplicity 4)  3 Ag 2.80-3.06, 1 In 2.86
Ag 0.1633 0.5000 0.7022 (multiplicity 4)  3 In 2.80-3.06, 1 Ag 2.82

Entry 5:
## Pu2AlSnAu6 (PBE)

Data for a relaxed Pu2AlSnAu6 crystal.

Properties
**Calculated formation energy**: -0.32 eV/atom

a = 5.3143 Å, b = 5.7180 Å, c = 7.7785 Å
α = 96.21°, β = 107.23°, γ = 101.94°
Closest atoms and distances in Å follow each position.
Space group P-1 (No. 2)
Inequivalent atoms, fractional coordinates:
Pu 0.0515 0.3081 0.1908 (multiplicity 2)  7 Au 3.05-3.20, 2 Sn 3.23-3.33
Al 0.5000 0.0000 0.5000 (multiplicity 1)  6 Au 2.56-2.62
Sn 0.5000 0.5000 0.0000 (multiplicity 1)  6 Au 2.87-3.14
Au 0.0219 0.1715 0.6686 (multiplicity 2)  1 Al 2.61, 1 Au 2.81
Au 0.3327 0.5836 0.5931 (multiplicity 2)  1 Al 2.62, 3 Au 2.81-2.92
Au 0.4298 0.9505 0.1571 (multiplicity 2)  1 Al 2.56, 1 Au 2.84

Entry 6:
## HoGe3Pd (PBE)

Data for a relaxed HoGe3Pd crystal.

Properties
**Calculated formation energy**: -0.51 eV/atom

a = 5.6108 Å, b = 5.8610 Å, c = 6.1430 Å
α = 90.00°, β = 93.49°, γ = 90.00°
Closest atoms and distances in Å follow each position.
Space group P2_1 (No. 4)
Inequivalent atoms, fractional coordinates:
Ho 0.1409 0.0000 0.3118 (multiplicity 2)  6 Ge 2.96-3.16, 2 Pd 3.05-3.26
Ge 0.0895 0.0548 0.7990 (multiplicity 2)  1 Pd 2.50, 3 Ge 2.66-2.74
Ge 0.2953 0.4308 0.9959 (multiplicity 2)  2 Pd 2.51-2.54, 3 Ge 2.67-2.81
Ge 0.3022 0.4662 0.4526 (multiplicity 2)  2 Pd 2.47-2.50, 1 Ge 2.66
Pd 0.3902 0.7502 0.7426 (multiplicity 2)  5 Ge 2.47-2.54

| no. | DFT total energy (eV/cell) | V (Å³ per cell) |
| --- | --- | --- |
| 1 | -36.89 | 58.8 |
| 2 | -19.37 | 98.8 |
| 3 | -225.15 | 516.2 |
| 4 | -45.87 | 299.6 |
| 5 | -59.30 | 217.2 |
| 6 | -52.34 | 201.6 |